(1)
YZn2Re after structural relaxation, computed with PBE.

The magnetization comes out at 0.00 μB/f.u. The total energy is -5.176 eV per atom.

The space group is Pmm2 (No. 25) and the conventional cell measures 2.9061, 3.5738 and 7.0295 Å, with angles of 90.00, 90.00 and 90.00 degrees. The asymmetric unit holds Y at (0.0000, 0.0000, 0.0000), Zn at (0.0000, 0.0000, 0.5233), Zn at (0.5000, 0.5000, 0.3217) and Re at (0.5000, 0.5000, 0.7212).



(2)
YZn2Re after structural relaxation, computed with PBE.

The magnetization comes out at 0.00 μB/f.u. The total energy is -5.127 eV per atom.

The space group is Cmmm (No. 65) and the conventional cell measures 5.8111, 8.1668 and 2.9153 Å, with angles of 90.00, 90.00 and 90.00 degrees. The asymmetric unit holds Y at (0.0000, 0.0000, 0.0000), Zn at (0.2500, 0.2500, 0.5000) and Re at (0.0000, 0.5000, 0.0000).



(3)
YZn2Re after structural relaxation, computed with PBE.

The magnetization comes out at 0.71 μB/f.u. The total energy is -5.122 eV per atom.

The space group is P4/mmm (No. 123) and the conventional cell measures 2.9758, 2.9758 and 7.9127 Å, with angles of 90.00, 90.00 and 90.00 degrees. The asymmetric unit holds Y at (0.0000, 0.0000, 0.0000), Zn at (0.5000, 0.5000, 0.2822) and Re at (0.0000, 0.0000, 0.5000).



no.,polymorph energy (0 for the lowest one) (meV/atom)
1,118
2,167
3,172